# 1
An optimized crystal structure of CsCdNO. Source: the Open Quantum Materials Database, functional PBE-GGA.

Properties
E above lowest polymorph, eV per formula unit: 2.81

Cell: 4.9582 4.9582 5.8910 Å, 90.00 90.00 90.00°
Element x y z (fractional)
1 Cs 0.5000 0.5000 0.5000
2 Cd 0.0000 0.5000 0.0378
3 N 0.5000 0.0000 0.5418
4 O 0.5000 0.5000 0.0000
5 Cs 0.0000 0.0000 0.5000
6 N 0.0000 0.5000 0.4582
7 Cd 0.5000 0.0000 0.9622
8 O 0.0000 0.0000 0.0000


# 2
An optimized crystal structure of LaPr. Source: the Open Quantum Materials Database, functional PBE-GGA.

Properties
E above lowest polymorph, eV per formula unit: 0.19
Energy of formation from the pure elements, eV per atom: 0.121

Cell: 6.5624 6.5624 6.7575 Å, 90.00 90.00 86.09°
Element x y z (fractional)
1 Pr 0.1363 0.4924 0.2500
2 Pr 0.8637 0.5076 0.7500
3 La 0.3512 0.6488 0.7500
4 Pr 0.4924 0.1363 0.7500
5 La 0.0000 0.0000 0.0000
6 La 0.0000 0.0000 0.5000
7 Pr 0.5076 0.8637 0.2500
8 La 0.6488 0.3512 0.2500


# 3
An optimized crystal structure of LuGaFeCu. Source: the Open Quantum Materials Database, functional PBE-GGA.

Properties
E above lowest polymorph, eV per formula unit: 0.03

Cell: 4.4467 4.4467 4.4467 Å, 60.00 60.00 60.00°
Element x y z (fractional)
1 Lu 0.5000 0.5000 0.5000
2 Cu 0.7500 0.7500 0.7500
3 Ga 0.0000 0.0000 0.0000
4 Fe 0.2500 0.2500 0.2500


# 4
An optimized crystal structure of PuNb. Source: the Open Quantum Materials Database, functional PBE-GGA.

Properties
E above lowest polymorph, eV per formula unit: 0.00
Energy of formation from the pure elements, eV per atom: 0.506

Cell: 2.7270 2.7264 5.7229 Å, 90.00 90.00 120.01°
Last column: magnetic moment on the atom in μB.
Element x y z (fractional)
1 Nb 0.6667 0.3333 0.7500  -0.14
2 Pu 0.3333 0.6667 0.2500  2.60


# 5
An optimized crystal structure of YInAg2. Source: the Open Quantum Materials Database, functional PBE-GGA.

Properties
Raw total energy, eV/cell: -15.95

Cell: 4.9362 4.9362 4.9362 Å, 60.00 60.00 60.00°
Element x y z (fractional)
1 Y 0.2500 0.2500 0.2500
2 In 0.5000 0.5000 0.5000
3 Ag 0.7500 0.7500 0.7500
4 Ag 0.0000 0.0000 0.0000


# 6
An optimized crystal structure of SmYBr2O2. Source: the Open Quantum Materials Database, functional PBE-GGA.

Properties
Raw total energy, eV/cell: -41.73

Cell: 3.8781 3.8781 8.4467 Å, 90.00 90.00 90.00°
Element x y z (fractional)
1 Br 0.0000 0.0000 0.3333
2 O 0.0000 0.5000 0.9970
3 Y 0.0000 0.0000 0.8639
4 Br 0.5000 0.5000 0.6691
5 O 0.5000 0.0000 0.9970
6 Sm 0.5000 0.5000 0.1397


# 7
An optimized crystal structure of Gd2HoAl3CuSn2. Source: the Open Quantum Materials Database, functional PBE-GGA.

Properties
Raw total energy, eV/cell: -41.85

Cell: 4.2999 7.3070 7.3070 Å, 119.75 90.00 90.00°
Element x y z (fractional)
1 Al 0.5000 0.9999 0.2233
2 Gd 0.0000 0.6117 0.9990
3 Ho 0.0000 0.3859 0.3859
4 Gd 0.0000 0.9990 0.6117
5 Al 0.5000 0.2233 0.9999
6 Sn 0.5000 0.6640 0.3339
7 Al 0.5000 0.7783 0.7783
8 Sn 0.5000 0.3339 0.6640
9 Cu 0.0000 0.0040 0.0040


# 8
An optimized crystal structure of TmMgTc. Source: the Open Quantum Materials Database, functional PBE-GGA.

Properties
Raw total energy, eV/cell: -13.12

Cell: 4.7225 4.7225 4.7225 Å, 60.00 60.00 60.00°
Element x y z (fractional)
1 Tc 0.7500 0.7500 0.7500
2 Tm 0.0000 0.0000 0.0000
3 Mg 0.2500 0.2500 0.2500


| no. | ρ (g cm⁻³) |
| --- | --- |
| 1 | 6.31 |
| 2 | 6.40 |
| 3 | 9.72 |
| 4 | 15.18 |
| 5 | 8.19 |
| 6 | 5.63 |
| 7 | 7.18 |
| 8 | 6.49 |